A plane-wave DFT calculation with GGA+U was carried out for crystalline Ac3Co2O7 at its relaxed geometry.

```
data_Ac3Co2O7
_chemical_formula_sum 'Ac6 Co4 O14'
_symmetry_space_group_name_H-M 'I 4/m m m'
_symmetry_Int_Tables_number 139
_symmetry_space_group_name_Hall '-I 4 2'
_cell_length_a 3.920
_cell_length_b 3.920
_cell_length_c 21.580
_cell_angle_alpha 90.00
_cell_angle_beta 90.00
_cell_angle_gamma 90.00
loop_
_atom_site_label
_atom_site_fract_x
_atom_site_fract_y
_atom_site_fract_z
Ac1 0.000 0.000 0.000
Ac2 0.000 0.000 0.180
Co1 0.000 0.000 0.404
O1 0.000 0.000 0.296
O2 0.000 0.000 0.500
O3 0.000 0.500 0.097
```

Results
Spin magnetization in Bohr magnetons per cell: 10.00
Total energy in eV for the cell shown: -173.9